Entry 1:
Below is a relaxed structure of ZrIr2Se, with properties calculated at the PBE level.

```
4
Lattice="5.142 0.008 0.000 2.111 4.689 0.000 -3.627 -2.349 2.788" Properties=species:S:1:pos:R:3 pbc="T T T"
Ir 0.000 0.000 0.000
Ir 3.627 2.349 0.000
Se 1.056 2.345 1.394
Zr 2.571 0.004 1.394
```

Values from the calculation:
Total DFT energy (no corrections)   -7.7508 eV per atom
N(E_F)   2.36 states/eV/f.u.



Entry 2:
Below is a relaxed structure of Pm5In2RuRh2, with properties calculated at the PBE level.

```
20
Lattice="-1.665 -0.041 3.198 6.969 -8.947 3.515 7.895 7.804 4.211" Properties=species:S:1:pos:R:3 pbc="T T T"
In 8.690 3.538 4.571
In 11.084 -2.014 5.746
In 6.174 -4.680 3.155
In 3.780 0.871 1.980
Pm 1.033 -1.263 2.555
Pm 5.971 5.688 5.215
Pm 4.613 -1.538 4.415
Pm 3.115 3.882 3.704
Pm 8.586 0.355 6.509
Pm 2.652 -4.494 3.357
Pm 7.451 -2.837 5.877
Pm 5.748 1.654 5.047
Pm 12.166 0.080 8.369
Pm 7.228 -6.871 5.709
Rh 5.983 3.746 3.163
Rh 3.611 -2.180 1.853
Rh 8.882 -4.888 4.563
Rh 11.253 1.038 5.873
Ru 7.432 -0.571 3.863
Ru 0.000 0.000 0.000
```

Values from the calculation:
Formation energy from the elements   -476 meV per atom
Total DFT energy (no corrections)   -5.7964 eV per atom
N(E_F)   5.94 states/eV/f.u.



Entry 3:
Below is a relaxed structure of SmMg2Rh2, with properties calculated at the PBE level.

```
10
Lattice="4.674 0.000 0.000 0.000 4.967 0.576 0.000 0.523 8.534" Properties=species:S:1:pos:R:3 pbc="T T T"
Mg 3.506 4.523 4.942
Mg 1.169 4.384 7.626
Mg 1.169 0.967 4.169
Mg 3.506 1.106 1.485
Sm 3.506 1.963 6.833
Sm 1.169 3.527 2.278
Rh 1.169 1.751 8.649
Rh 3.506 2.162 3.875
Rh 3.506 3.739 0.461
Rh 1.169 3.328 5.236
```

Values from the calculation:
Formation energy from the elements   -498 meV per atom
Total DFT energy (no corrections)   -5.0198 eV per atom
N(E_F)   2.03 states/eV/f.u.



Entry 4:
Below is a relaxed structure of SmErCo3, with properties calculated at the PBE level.

```
10
Lattice="-2.460 -2.756 -1.233 1.072 0.789 -3.902 7.925 -8.273 2.681" Properties=species:S:1:pos:R:3 pbc="T T T"
Co 7.434 -8.184 0.386
Co 0.764 -3.603 -2.697
Co -0.897 -2.056 -2.841
Co 2.794 -2.970 -2.012
Co 5.773 -6.637 0.243
Co 3.743 -7.270 -0.443
Er 1.636 -5.308 -0.625
Er 4.901 -4.931 -1.830
Sm 0.593 -1.814 -0.204
Sm 5.944 -8.426 -2.251
```

Values from the calculation:
Formation energy from the elements   -174 meV per atom
Total DFT energy (no corrections)   -6.2936 eV per atom
N(E_F)   4.00 states/eV/f.u.



Entry 5:
Below is a relaxed structure of Ta2CoBr, with properties calculated at the PBE level.

```
4
Lattice="3.165 0.000 0.000 0.000 3.170 -0.001 0.000 1.601 7.093" Properties=species:S:1:pos:R:3 pbc="T T T"
Ta 0.000 4.572 6.872
Ta 1.583 1.387 1.607
Co 1.583 2.987 5.707
Br 0.000 2.980 3.543
```

Values from the calculation:
Energy above the most stable polymorph in this dataset   111 meV per atom
Total DFT energy (no corrections)   -7.9243 eV per atom
N(E_F)   3.12 states/eV/f.u.



Entry 6:
Below is a relaxed structure of Tb4Pm2Te9, with properties calculated at the PBE level.

```
30
Lattice="7.786 0.001 0.017 3.892 6.742 0.043 -0.046 -0.109 21.268" Properties=species:S:1:pos:R:3 pbc="T T T"
Tb 7.749 4.405 17.541
Tb 3.883 2.228 3.787
Tb 7.769 4.459 6.909
Tb 7.785 4.494 0.244
Tb 3.863 2.174 14.420
Tb 7.762 4.439 10.878
Tb 3.847 2.140 21.084
Tb 3.870 2.194 10.450
Te 6.340 6.714 5.366
Te 6.275 2.236 12.432
Te 8.923 6.562 8.913
Te 6.541 2.105 5.343
Te 2.615 4.244 12.435
Te 5.046 0.126 1.786
Te 10.152 4.344 19.540
Te 1.480 2.290 1.788
Te 1.198 2.050 15.965
Te 5.139 4.298 1.808
Te 10.434 4.583 5.364
Te 2.709 0.071 12.415
Te 5.357 4.397 8.896
Te 6.493 2.336 19.520
Te 5.090 4.529 15.985
Te 9.016 2.390 8.893
Te 6.585 6.507 19.542
Te 5.291 -0.081 15.962
Pm 11.669 6.725 3.354
Pm 11.661 6.705 7.400
Pm -0.038 -0.092 17.974
Pm -0.029 -0.071 13.928
```

Values from the calculation:
Total DFT energy (no corrections)   -5.1258 eV per atom



Entry 7:
Below is a relaxed structure of NaEuYIn, with properties calculated at the PBE level.

```
4
Lattice="-3.805 4.042 0.185 -5.387 -1.228 -0.570 -3.416 0.401 4.361" Properties=species:S:1:pos:R:3 pbc="T T T"
Na 0.000 0.000 0.000
In -6.304 1.608 1.988
Eu -3.152 0.804 0.994
Y -9.456 2.411 2.982
```

Values from the calculation:
Formation energy from the elements   -146 meV per atom
Total DFT energy (no corrections)   -5.3452 eV per atom
N(E_F)   10.54 states/eV/f.u.



Entry 8:
Below is a relaxed structure of Dy4Tl5Pd2, with properties calculated at the PBE level.

```
11
Lattice="3.658 0.000 0.000 0.000 7.940 0.029 0.000 -0.732 9.691" Properties=species:S:1:pos:R:3 pbc="T T T"
Dy 1.829 1.400 4.149
Dy 1.829 0.916 8.227
Dy 1.829 5.808 5.571
Dy 1.829 6.292 1.493
Tl 0.000 6.118 8.389
Tl 0.000 4.062 3.260
Tl 0.000 3.145 6.460
Tl 0.000 3.970 0.014
Tl 0.000 1.090 1.331
Pd 0.000 7.049 3.573
Pd 0.000 0.159 6.147
```

Values from the calculation:
Formation energy from the elements   -501 meV per atom
Total DFT energy (no corrections)   -4.1939 eV per atom
N(E_F)   6.29 states/eV/f.u.



Entry 9:
Below is a relaxed structure of ZnIn3Br6, with properties calculated at the PBE level.

```
20
Lattice="7.202 0.000 0.000 0.000 9.985 0.246 0.000 -1.988 9.788" Properties=species:S:1:pos:R:3 pbc="T T T"
Br 1.122 -1.327 9.261
Br 1.516 2.540 8.570
Br 5.117 7.787 4.389
Br 4.755 2.249 3.910
Br 5.166 0.605 7.721
Br 4.723 9.324 0.773
Br 1.565 7.391 2.313
Br 1.516 0.209 5.645
Br 1.154 3.310 3.065
Br 5.117 5.456 1.464
Br 4.755 4.687 6.969
Br 1.154 5.748 6.124
In 7.047 5.337 9.203
In 2.634 3.117 5.719
In 7.047 0.217 2.778
In 3.446 2.659 0.831
In 3.446 7.780 7.256
In 6.235 4.879 4.315
Zn 0.347 0.483 7.818
Zn 3.948 7.513 2.216
```

Values from the calculation:
Energy above the most stable polymorph in this dataset   0 meV per atom
Total DFT energy (no corrections)   -2.6468 eV per atom
N(E_F)   5.64 states/eV/f.u.



Entry 10:
Below is a relaxed structure of AcEuYPb, with properties calculated at the PBE level.

```
4
Lattice="-1.106 -1.793 5.380 -4.596 -3.344 1.044 0.730 -5.558 1.400" Properties=species:S:1:pos:R:3 pbc="T T T"
Pb -2.486 -5.348 3.912
Y -3.729 -8.021 5.868
Eu 0.000 0.000 0.000
Ac -1.243 -2.674 1.956
```

Values from the calculation:
Formation energy from the elements   -124 meV per atom
Total DFT energy (no corrections)   -6.2626 eV per atom
N(E_F)   5.43 states/eV/f.u.



Entry 11:
Below is a relaxed structure of HoAl2SiNi2, with properties calculated at the PBE level.

```
6
Lattice="4.270 0.000 0.000 0.000 4.270 0.000 0.000 0.000 5.490" Properties=species:S:1:pos:R:3 pbc="T T T"
Ho 0.000 0.000 2.745
Al 2.135 2.135 1.418
Al 2.135 2.135 4.072
Ni 2.135 0.000 0.000
Ni 0.000 2.135 0.000
Si 0.000 0.000 0.000
```

Values from the calculation:
Total DFT energy (no corrections)   -5.2702 eV per atom
N(E_F)   3.31 states/eV/f.u.



Entry 12:
Below is a relaxed structure of NaMoCl6, with properties calculated at the PBE level.

```
8
Lattice="-6.593 2.086 -0.471 -2.029 -5.564 3.037 -0.468 -0.145 6.637" Properties=species:S:1:pos:R:3 pbc="T T T"
Na -3.348 0.925 -0.034
Cl -5.669 1.454 4.545
Cl -2.803 -3.664 2.264
Cl -6.957 -2.443 3.890
Cl -2.237 -1.417 5.714
Cl -5.923 -0.050 0.704
Cl -1.495 0.249 2.023
Mo -0.052 -0.118 0.201
```

Values from the calculation:
Energy above the most stable polymorph in this dataset   3 meV per atom
Total DFT energy (no corrections)   -3.9280 eV per atom
N(E_F)   6.98 states/eV/f.u.



no.,total magnetization (μB per cell)
1,0.00
2,0.00
3,0.00
4,3.73
5,0.00
6,0.00
7,7.28
8,0.00
9,0.01
10,8.13
11,0.00
12,1.00